The following is a GGA-PBEsol calculation of crystalline KAgS2 at its relaxed geometry, from Alexandria.

The calculation puts the energy relative to the elements, uncorrected at -0.3246 eV per atom. Its crystal system is tetragonal. The calculation puts the total magnetic moment at 0.000 μB per formula unit.

a b c (Å): 5.011 5.011 9.096
angles (deg): 105.99 105.99 90.00
Positions (direct):
K 0.750 0.250 0.500
K 0.500 0.500 0.000
S 0.173 0.875 0.250
S 0.077 0.375 0.250
S 0.125 0.923 0.750
S 0.625 0.827 0.750
Ag 0.250 0.750 0.500
Ag 0.000 0.000 0.000